[1]
! BaPmBi4O8 (PBE, optimized geometry); values from VASP
! Total magnetic moment = 0.000 μB/cell
! SG = R3m, No. 160
! Volume = 19.4 Å³ per atom
! VASP energy = -6.10 eV/atom
&SYSTEM
  ibrav = 0, nat = 14, ntyp = 4
/
ATOMIC_SPECIES
Ba 137.33 Ba.upf
Pm 145.00 Pm.upf
Bi 208.98 Bi.upf
O 16.00 O.upf
CELL_PARAMETERS angstrom
3.645 2.104 5.905
-3.645 2.104 5.905
0.000 -4.208 5.905
ATOMIC_POSITIONS angstrom
Ba 0.000 0.000 0.000
Pm 0.000 0.000 11.080
Bi -1.847 -1.066 8.102
Bi 0.000 0.000 4.272
Bi 1.847 -1.066 8.102
Bi 0.000 2.133 8.102
O 0.000 0.000 6.435
O 0.000 -1.901 9.690
O -1.646 0.951 9.690
O -1.539 -0.888 12.728
O 1.646 0.951 9.690
O 0.000 0.000 15.101
O 1.539 -0.888 12.728
O 0.000 1.777 12.728

---

[2]
! Ba2PmBiO6 (PBE, optimized geometry); values from VASP
! Total magnetic moment = 0.000 μB/cell
! SG = P2_1/c, No. 14
! Volume = 17.1 Å³ per atom
! VASP energy = -6.58 eV/atom
&SYSTEM
  ibrav = 0, nat = 20, ntyp = 4
/
ATOMIC_SPECIES
Ba 137.33 Ba.upf
Pm 145.00 Pm.upf
Bi 208.98 Bi.upf
O 16.00 O.upf
CELL_PARAMETERS angstrom
6.250 0.000 0.000
0.000 6.225 0.000
-6.201 0.000 8.789
ATOMIC_POSITIONS angstrom
Ba -0.027 0.090 2.187
Ba -3.127 3.022 6.582
Ba 3.176 3.203 2.207
Ba 0.076 6.134 6.601
Pm 3.125 0.000 0.000
Pm 0.024 3.112 4.394
Bi -3.101 0.000 4.394
Bi 0.000 3.112 0.000
O -4.818 1.499 8.466
O -1.718 1.613 4.071
O -4.601 4.509 8.470
O -1.501 4.828 4.076
O -2.669 0.058 6.500
O 0.432 3.054 2.106
O -0.383 3.171 6.683
O 2.718 6.167 2.289
O 1.549 1.397 4.713
O 4.650 1.716 0.318
O 1.766 4.612 4.717
O 4.867 4.726 0.323

---

[3]
! BaPmBi2O8 (PBE, optimized geometry); values from VASP
! Total magnetic moment = 1.111 μB/cell
! SG = I-4, No. 82
! Volume = 16.0 Å³ per atom
! VASP energy = -6.07 eV/atom
&SYSTEM
  ibrav = 0, nat = 12, ntyp = 4
/
ATOMIC_SPECIES
Ba 137.33 Ba.upf
Pm 145.00 Pm.upf
Bi 208.98 Bi.upf
O 16.00 O.upf
CELL_PARAMETERS angstrom
-2.854 2.854 5.897
2.854 -2.854 5.897
2.854 2.854 -5.897
ATOMIC_POSITIONS angstrom
Ba 0.000 0.000 0.000
Pm 2.854 0.000 2.948
Bi 0.000 0.000 5.897
Bi 0.000 2.854 2.948
O 1.540 1.215 -1.916
O 1.412 -0.966 4.727
O 1.888 1.442 1.169
O 1.639 -1.314 7.813
O 1.442 3.820 -1.169
O 1.314 1.639 3.980
O 0.966 1.412 7.066
O 1.215 4.168 1.916

---

[4]
! Ba2PmBiO5 (PBE, optimized geometry); values from VASP
! Total magnetic moment = 0.000 μB/cell
! SG = Cmc2_1, No. 36
! Volume = 19.3 Å³ per atom
! VASP energy = -6.51 eV/atom
&SYSTEM
  ibrav = 0, nat = 18, ntyp = 4
/
ATOMIC_SPECIES
Ba 137.33 Ba.upf
Pm 145.00 Pm.upf
Bi 208.98 Bi.upf
O 16.00 O.upf
CELL_PARAMETERS angstrom
1.880 -7.466 0.000
1.880 7.466 0.000
0.000 0.000 12.370
ATOMIC_POSITIONS angstrom
Ba 1.880 5.929 6.185
Ba 1.880 5.329 0.900
Ba 1.880 -5.329 7.085
Ba 1.880 -5.929 0.000
Pm 1.880 4.039 10.046
Pm 1.880 -4.039 3.861
Bi 1.880 0.369 3.355
Bi 1.880 -0.369 9.540
O 1.880 6.440 10.674
O 1.880 3.422 5.462
O 1.880 3.057 2.417
O 1.880 1.735 10.283
O 1.880 0.185 7.335
O 1.880 -0.185 1.150
O 1.880 -1.735 4.098
O 1.880 -3.057 8.603
O 1.880 -3.422 11.648
O 1.880 -6.440 4.489

---

Quick rundown of raw formation energy, same order as above: -1679 -2362 -1559 -2367 meV per atom